1.
The following is a DFT calculation (GGA-PBE) of a relaxed CuHgTe2 crystal.

abc: 5.616 5.616 3.140
angles: 90.00 90.00 90.00
Element x y z (fractional)
Cu: 0.000 0.000 0.000
Hg: 0.500 0.500 0.000
Te: 0.000 0.500 0.500
Te: 0.500 0.000 0.500

Computed properties:
N(E_F) (states/eV/f.u.): 1.62
Formation energy without anion corrections (eV/atom): 0.3833

***

2.
The following is a DFT calculation (GGA-PBE) of a relaxed K2Ag2Sn crystal.

abc: 4.778 5.969 11.072
angles: 90.00 90.00 90.00
Element x y z (fractional)
K: 0.000 0.000 0.202
K: 0.000 0.000 0.798
K: 0.500 0.500 0.298
K: 0.500 0.500 0.702
Ag: 0.000 0.256 0.500
Ag: 0.000 0.744 0.500
Ag: 0.500 0.244 0.000
Ag: 0.500 0.756 0.000
Sn: 0.000 0.500 0.000
Sn: 0.500 0.000 0.500

Computed properties:
N(E_F) (states/eV/f.u.): 2.26
Total DFT energy (no corrections) (eV/cell): -24.679

***

N(E_F) of number 2 (K2Ag2Sn)? 2.26 states/eV/f.u.

***

Which formula does entry 2 have? K2Ag2Sn